(1)
## Eu2BiH (PBE)

Data for a relaxed Eu2BiH crystal.

Cell: 3.905 5.424 5.424 Å, 90.00 90.00 90.00°
Fractional positions:
1 Eu 0.000 0.000 0.500
2 Eu 0.000 0.500 0.000
3 H 0.500 0.000 0.000
4 Bi 0.500 0.500 0.500

Computed properties:
Total DFT energy (no corrections) in eV for the cell shown: -29.3

(2)
## PmSm14Sc (PBE)

Data for a relaxed PmSm14Sc crystal.

Cell: 7.223 7.223 10.179 Å, 90.00 90.00 90.02°
Fractional positions:
1 Pm 0.875 0.125 0.000
2 Sm 0.375 0.625 0.500
3 Sm 0.875 0.125 0.500
4 Sm 0.875 0.625 0.000
5 Sm 0.875 0.625 0.500
6 Sm 0.375 0.125 0.000
7 Sm 0.375 0.125 0.500
8 Sm 0.622 0.872 0.753
9 Sm 0.622 0.872 0.247
10 Sm 0.128 0.378 0.753
11 Sm 0.128 0.378 0.247
12 Sm 0.128 0.872 0.753
13 Sm 0.128 0.872 0.247
14 Sm 0.622 0.378 0.753
15 Sm 0.622 0.378 0.247
16 Sc 0.375 0.625 0.000

Computed properties:
Total DFT energy (no corrections) in eV for the cell shown: -76.8

(3)
## Li5Ga (PBE)

Data for a relaxed Li5Ga crystal.

Cell: 3.927 5.141 5.878 Å, 108.14 90.00 112.45°
Fractional positions:
1 Li 0.316 0.631 0.630
2 Li 0.629 0.258 0.259
3 Li 0.641 0.282 0.794
4 Li 0.972 0.944 0.444
5 Li 0.303 0.607 0.095
6 Ga 0.972 0.945 0.945

Computed properties:
Total DFT energy (no corrections) in eV for the cell shown: -13.5

(4)
## Li2BiOsO6 (PBE)

Data for a relaxed Li2BiOsO6 crystal.

Cell: 5.348 5.792 5.515 Å, 121.68 117.78 90.00°
Fractional positions:
1 Li 0.201 0.257 0.514
2 Li 0.799 0.743 0.486
3 Bi 0.500 0.000 0.000
4 Os 0.000 0.500 0.000
5 O 0.386 0.710 0.420
6 O 0.128 0.178 0.820
7 O 0.872 0.358 0.180
8 O 0.128 0.642 0.820
9 O 0.872 0.822 0.180
10 O 0.614 0.290 0.580

Computed properties:
Energy relative to the elements, uncorrected in eV per atom: -1.307

In the order shown, the computed size of the total moment values come out to 3.554; 0.000; 0.000; 0.088 μB per atom.
In the order shown, the computed mass density values come out to 7428; 7176; 1679; 6949 kg/m³.